First-principles (SCAN) data for Li2V2SnO6 at its PBEsol-relaxed geometry, as listed in Alexandria.

Unit cell a=5.175 b=5.175 c=10.071 alpha=90.00 beta=90.00 gamma=118.79
Site moments in Bohr magnetons follow the coordinates.
Fractional positions:
O: 0.990 0.343 0.107  0.01
O: 0.834 0.834 0.607  -0.02
Sn: 0.500 0.500 0.500  0.05
O: 0.343 0.990 0.107  0.01
Sn: 0.000 0.000 0.000  0.05
V: 0.656 0.344 0.000  1.85
O: 0.010 0.657 0.893  0.01
V: 0.156 0.844 0.500  1.85
O: 0.166 0.166 0.393  -0.02
O: 0.657 0.010 0.893  0.01
Li: 0.649 0.149 0.250  0.00
O: 0.510 0.157 0.607  0.01
O: 0.157 0.510 0.607  0.01
O: 0.843 0.490 0.393  0.01
O: 0.666 0.666 0.107  -0.02
Li: 0.851 0.351 0.750  0.00
V: 0.844 0.156 0.500  1.85
Li: 0.351 0.851 0.750  0.00
Li: 0.149 0.649 0.250  0.00
V: 0.344 0.656 0.000  1.85
O: 0.334 0.334 0.893  -0.02
O: 0.490 0.843 0.393  0.01

Uncorrected energy ... -12.51 eV/atom
ΔE_f (raw) ... -2232 meV per atom